[1]
The following is a PBE calculation of an optimized crystal structure of InGeSe2, from Alexandria via LeMat-Bulk.

Output
* uncorrected energy: -61.110 eV/cell
* N(E_F): 4.14 states/eV per cell
* raw formation energy: -0.238 eV/atom

abc: 4.692 6.182 15.460
angles: 90.00 90.00 90.00
Element x y z (fractional)
1 In 0.750 0.340 0.551
2 In 0.250 0.660 0.449
3 In 0.750 0.840 0.949
4 In 0.250 0.160 0.051
5 Ge 0.750 0.694 0.168
6 Ge 0.750 0.194 0.332
7 Ge 0.250 0.306 0.832
8 Ge 0.250 0.806 0.668
9 Se 0.750 0.881 0.609
10 Se 0.250 0.119 0.391
11 Se 0.750 0.381 0.891
12 Se 0.250 0.619 0.109
13 Se 0.250 0.399 0.675
14 Se 0.750 0.101 0.175
15 Se 0.250 0.899 0.825
16 Se 0.750 0.601 0.325

---

[2]
The following is a PBE calculation of an optimized crystal structure of InGe2Se6, from Alexandria via LeMat-Bulk.

Output
* uncorrected energy: -69.710 eV/cell
* N(E_F): 10.24 states/eV per cell
* raw formation energy: -0.219 eV/atom

abc: 6.437 9.574 9.574
angles: 94.95 74.23 74.23
Element x y z (fractional)
1 In 0.250 0.206 0.794
2 In 0.750 0.794 0.206
3 Ge 0.163 0.642 0.790
4 Ge 0.337 0.210 0.358
5 Ge 0.837 0.358 0.210
6 Ge 0.663 0.790 0.642
7 Se 0.360 0.728 0.579
8 Se 0.140 0.421 0.272
9 Se 0.640 0.272 0.421
10 Se 0.860 0.579 0.728
11 Se 0.884 0.856 0.431
12 Se 0.616 0.569 0.144
13 Se 0.116 0.144 0.569
14 Se 0.384 0.431 0.856
15 Se 0.099 0.827 0.997
16 Se 0.401 0.003 0.173
17 Se 0.901 0.173 0.003
18 Se 0.599 0.997 0.827

---

[3]
The following is a PBE calculation of an optimized crystal structure of InGeSe2, from Alexandria via LeMat-Bulk.

Output
* uncorrected energy: -29.861 eV/cell
* N(E_F): 3.32 states/eV per cell
* raw formation energy: -0.151 eV/atom

abc: 7.199 7.199 6.693
angles: 57.47 57.47 90.00
Element x y z (fractional)
1 Ge 0.500 0.500 0.000
2 Ge 0.250 0.750 0.500
3 Se 0.606 0.125 0.250
4 Se 0.144 0.625 0.250
5 Se 0.375 0.394 0.750
6 Se 0.875 0.856 0.750
7 In 0.000 0.000 0.000
8 In 0.750 0.250 0.500

---

[4]
The following is a PBE calculation of an optimized crystal structure of InGeSe3, from Alexandria via LeMat-Bulk.

Output
* uncorrected energy: -17.321 eV/cell
* N(E_F): 2.72 states/eV per cell
* raw formation energy: 0.098 eV/atom

abc: 5.062 5.062 5.062
angles: 90.00 90.00 90.00
Element x y z (fractional)
1 Ge 0.000 0.000 0.000
2 Se 0.000 0.500 0.000
3 Se 0.000 0.000 0.500
4 Se 0.500 0.000 0.000
5 In 0.500 0.500 0.500

---

[5]
The following is a PBE calculation of an optimized crystal structure of InGe2Se2, from Alexandria via LeMat-Bulk.

Output
* uncorrected energy: -18.590 eV/cell
* N(E_F): 2.61 states/eV per cell
* raw formation energy: 0.071 eV/atom
* E above lowest polymorph: 229 meV/atom

abc: 3.748 3.748 8.624
angles: 77.45 77.45 90.00
Element x y z (fractional)
1 Ge 0.750 0.250 0.500
2 Ge 0.250 0.750 0.500
3 Se 0.395 0.395 0.211
4 Se 0.605 0.605 0.789
5 In 0.000 0.000 0.000

---

[6]
The following is a PBE calculation of an optimized crystal structure of In2GeSe, from Alexandria via LeMat-Bulk.

Output
* uncorrected energy: -13.082 eV/cell
* N(E_F): 2.44 states/eV per cell
* raw formation energy: 0.124 eV/atom
* E above lowest polymorph: 351 meV/atom

abc: 5.125 5.125 5.125
angles: 60.00 60.00 60.00
Element x y z (fractional)
1 Ge 0.000 0.000 0.000
2 Se 0.500 0.500 0.500
3 In 0.250 0.250 0.250
4 In 0.750 0.750 0.750